Model w:
# GGA-PBE MgMnPd3, optimized geometry
data_MgMnPd3
_space_group_name_H-M_alt 'P -1'
_space_group_IT_number 2
_cell_length_a 2.914
_cell_length_b 6.846
_cell_length_c 7.788
_cell_angle_alpha 103.20
_cell_angle_beta 100.65
_cell_angle_gamma 90.05
loop_
_space_group_symop_operation_xyz
'x,y,z'
'-x,-y,-z'
loop_
_atom_site_label
_atom_site_type_symbol
_atom_site_fract_x
_atom_site_fract_y
_atom_site_fract_z
Mg1 Mg 0.017 0.273 0.036
Mn1 Mn 0.226 0.893 0.453
Pd1 Pd 0.201 0.344 0.399
Pd2 Pd 0.388 0.396 0.779
Pd3 Pd 0.402 0.988 0.805
# Calculated density: 8.9 Mg/m³


Model x:
# GGA-PBE MgMnPd3, optimized geometry
data_MgMnPd3
_space_group_name_H-M_alt 'P m -3 m'
_space_group_IT_number 221
_space_group_name_Hall '-P 4 2 3'
_cell_length_a 4.672
_cell_length_b 4.672
_cell_length_c 4.672
_cell_angle_alpha 90.00
_cell_angle_beta 90.00
_cell_angle_gamma 90.00
loop_
_atom_site_label
_atom_site_type_symbol
_atom_site_fract_x
_atom_site_fract_y
_atom_site_fract_z
Mg1 Mg 0.000 0.000 0.000
Mn1 Mn 0.500 0.500 0.500
Pd1 Pd 0.000 0.500 0.500
# Calculated density: 6.5 Mg/m³


Verdict on stability: model w comes out on top.


Model w:
# GGA-PBE Pr2MgMn, optimized geometry
data_Pr2MgMn
_space_group_name_H-M_alt 'P 4/m m m'
_space_group_IT_number 123
_space_group_name_Hall '-P 4 2'
_cell_length_a 3.716
_cell_length_b 3.716
_cell_length_c 8.050
_cell_angle_alpha 90.00
_cell_angle_beta 90.00
_cell_angle_gamma 90.00
loop_
_atom_site_label
_atom_site_type_symbol
_atom_site_fract_x
_atom_site_fract_y
_atom_site_fract_z
Pr1 Pr 0.000 0.000 0.226
Mg1 Mg 0.500 0.500 0.500
Mn1 Mn 0.500 0.500 0.000
# Calculated density: 5.4 Mg/m³


Model x:
# GGA-PBE Pr2MgMn, optimized geometry
data_Pr2MgMn
_space_group_name_H-M_alt 'F m -3 m'
_space_group_IT_number 225
_space_group_name_Hall '-F 4 2 3'
_cell_length_a 7.631
_cell_length_b 7.631
_cell_length_c 7.631
_cell_angle_alpha 90.00
_cell_angle_beta 90.00
_cell_angle_gamma 90.00
loop_
_atom_site_label
_atom_site_type_symbol
_atom_site_fract_x
_atom_site_fract_y
_atom_site_fract_z
Pr1 Pr 0.250 0.250 0.250
Mg1 Mg 0.000 0.000 0.000
Mn1 Mn 0.000 0.000 0.500
# Calculated density: 5.4 Mg/m³


Verdict on stability: model w comes out on top.


Model w:
# GGA-PBE MgMnPt3, optimized geometry
data_MgMnPt3
_space_group_name_H-M_alt 'P m -3 m'
_space_group_IT_number 221
_space_group_name_Hall '-P 4 2 3'
_cell_length_a 4.592
_cell_length_b 4.592
_cell_length_c 4.592
_cell_angle_alpha 90.00
_cell_angle_beta 90.00
_cell_angle_gamma 90.00
loop_
_atom_site_label
_atom_site_type_symbol
_atom_site_fract_x
_atom_site_fract_y
_atom_site_fract_z
Mg1 Mg 0.000 0.000 0.000
Mn1 Mn 0.500 0.500 0.500
Pt1 Pt 0.000 0.500 0.500
# Calculated density: 11.4 Mg/m³


Model x:
# GGA-PBE MgMnPt3, optimized geometry
data_MgMnPt3
_space_group_name_H-M_alt 'P m -3 m'
_space_group_IT_number 221
_space_group_name_Hall '-P 4 2 3'
_cell_length_a 4.544
_cell_length_b 4.544
_cell_length_c 4.544
_cell_angle_alpha 90.00
_cell_angle_beta 90.00
_cell_angle_gamma 90.00
loop_
_atom_site_label
_atom_site_type_symbol
_atom_site_fract_x
_atom_site_fract_y
_atom_site_fract_z
Mg1 Mg 0.000 0.000 0.000
Mn1 Mn 0.500 0.500 0.500
Pt1 Pt 0.000 0.000 0.500
# Calculated density: 11.8 Mg/m³


Verdict on stability: model w comes out on top.